P | {
  "formula": "Ce2SnPb2",
  "functional": "PBE",
  "state": "relaxed",
  "magnetic_moment_mub_per_fu": 1.970,
  "crystal_system": "hexagonal",
  "lattice": [[5.210, 0.000, 0.000], [-2.605, 4.512, 0.000], [0.000, 0.000, 13.223]],
  "species": ["Ce", "Ce", "Ce", "Ce", "Sn", "Sn", "Pb", "Pb", "Pb", "Pb"],
  "frac_coords": [[0.333, 0.667, 0.107], [0.333, 0.667, 0.393], [0.667, 0.333, 0.607], [0.667, 0.333, 0.893], [0.000, 0.000, 0.250], [0.000, 0.000, 0.750], [0.000, 0.000, 0.000], [0.000, 0.000, 0.500], [0.333, 0.667, 0.750], [0.667, 0.333, 0.250]]
}

Q | {
  "formula": "Ce2SnPb2",
  "functional": "PBE",
  "state": "relaxed",
  "magnetic_moment_mub_per_fu": 1.966,
  "crystal_system": "tetragonal",
  "lattice": [[8.167, 0.000, 0.000], [0.000, 8.167, 0.000], [0.000, 0.000, 4.633]],
  "species": ["Ce", "Ce", "Ce", "Ce", "Sn", "Sn", "Pb", "Pb", "Pb", "Pb"],
  "frac_coords": [[0.173, 0.327, 0.000], [0.327, 0.827, 0.000], [0.673, 0.173, 0.000], [0.827, 0.673, 0.000], [0.000, 0.000, 0.500], [0.500, 0.500, 0.500], [0.133, 0.633, 0.500], [0.367, 0.133, 0.500], [0.633, 0.867, 0.500], [0.867, 0.367, 0.500]]
}

It is Q that is the most stable of them.

P | {
  "formula": "Ce4Sn2Pb",
  "functional": "PBE",
  "state": "relaxed",
  "magnetic_moment_mub_per_fu": 6.073,
  "crystal_system": "tetragonal",
  "lattice": [[-3.042, 3.042, 6.033], [3.042, -3.042, 6.033], [3.042, 3.042, -6.033]],
  "species": ["Ce", "Ce", "Ce", "Ce", "Sn", "Sn", "Pb"],
  "frac_coords": [[0.000, 0.500, 0.500], [0.250, 0.750, 0.500], [0.500, 0.000, 0.500], [0.750, 0.250, 0.500], [0.127, 0.127, 0.000], [0.873, 0.873, 0.000], [0.500, 0.500, 0.000]]
}

Q | {
  "formula": "Ce4Sn2Pb",
  "functional": "PBE",
  "state": "relaxed",
  "magnetic_moment_mub_per_fu": 4.048,
  "crystal_system": "tetragonal",
  "lattice": [[-4.759, 4.759, 4.792], [4.759, -4.759, 4.792], [4.759, 4.759, -4.792]],
  "species": ["Ce", "Ce", "Ce", "Ce", "Ce", "Ce", "Ce", "Ce", "Sn", "Sn", "Sn", "Sn", "Pb", "Pb"],
  "frac_coords": [[0.119, 0.521, 0.749], [0.120, 0.023, 0.751], [0.271, 0.369, 0.249], [0.479, 0.227, 0.597], [0.630, 0.881, 0.403], [0.631, 0.880, 0.903], [0.773, 0.370, 0.251], [0.977, 0.729, 0.097], [0.002, 0.125, 0.377], [0.375, 0.998, 0.123], [0.748, 0.625, 0.623], [0.875, 0.252, 0.877], [0.250, 0.750, 0.500], [0.500, 0.500, 0.000]]
}

It is Q that is the most stable of them.

P | {
  "formula": "SrCeTlPb",
  "functional": "PBE",
  "state": "relaxed",
  "magnetic_moment_mub_per_fu": 1.310,
  "crystal_system": "tetragonal",
  "lattice": [[3.671, 0.000, 0.000], [0.000, 3.671, 0.000], [0.000, 0.000, 9.355]],
  "species": ["Sr", "Ce", "Tl", "Pb"],
  "frac_coords": [[0.000, 0.000, 0.000], [0.000, 0.000, 0.494], [0.500, 0.500, 0.259], [0.500, 0.500, 0.740]]
}

Q | {
  "formula": "SrCeTlPb",
  "functional": "PBE",
  "state": "relaxed",
  "magnetic_moment_mub_per_fu": 1.098,
  "crystal_system": "cubic",
  "lattice": [[0.000, 4.014, 4.014], [4.014, 0.000, 4.014], [4.014, 4.014, 0.000]],
  "species": ["Sr", "Ce", "Tl", "Pb"],
  "frac_coords": [[0.000, 0.000, 0.000], [0.500, 0.500, 0.500], [0.750, 0.750, 0.750], [0.250, 0.250, 0.250]]
}

It is P that is the most stable of them.

P | {
  "formula": "Tb2CePb",
  "functional": "PBE",
  "state": "relaxed",
  "magnetic_moment_mub_per_fu": 0.817,
  "crystal_system": "cubic",
  "lattice": [[0.000, 3.858, 3.858], [3.858, 0.000, 3.858], [3.858, 3.858, 0.000]],
  "species": ["Tb", "Tb", "Ce", "Pb"],
  "frac_coords": [[0.250, 0.250, 0.250], [0.750, 0.750, 0.750], [0.000, 0.000, 0.000], [0.500, 0.500, 0.500]]
}

Q | {
  "formula": "Tb2CePb",
  "functional": "PBE",
  "state": "relaxed",
  "magnetic_moment_mub_per_fu": 0.437,
  "crystal_system": "tetragonal",
  "lattice": [[4.946, 0.000, 0.000], [0.000, 4.946, 0.000], [0.000, 0.000, 4.686]],
  "species": ["Tb", "Tb", "Ce", "Pb"],
  "frac_coords": [[0.000, 0.500, 0.000], [0.500, 0.000, 0.000], [0.000, 0.000, 0.500], [0.500, 0.500, 0.500]]
}

It is Q that is the most stable of them.

P | {
  "formula": "TbCe3Pb4",
  "functional": "PBE",
  "state": "relaxed",
  "magnetic_moment_mub_per_fu": 0.070,
  "crystal_system": "orthorhombic",
  "lattice": [[6.409, 0.000, 0.000], [0.000, 12.816, 0.000], [0.000, 0.000, 6.409]],
  "species": ["Tb", "Tb", "Ce", "Ce", "Ce", "Ce", "Ce", "Ce", "Pb", "Pb", "Pb", "Pb", "Pb", "Pb", "Pb", "Pb"],
  "frac_coords": [[0.250, 0.250, 0.249], [0.750, 0.750, 0.751], [0.250, 0.000, 0.750], [0.250, 0.500, 0.750], [0.250, 0.750, 0.252], [0.750, 0.000, 0.250], [0.750, 0.250, 0.748], [0.750, 0.500, 0.250], [0.250, 0.250, 0.749], [0.250, 0.501, 0.250], [0.250, 0.750, 0.752], [0.250, 0.999, 0.250], [0.750, 0.001, 0.750], [0.750, 0.250, 0.248], [0.750, 0.499, 0.750], [0.750, 0.750, 0.251]]
}

Q | {
  "formula": "TbCe3Pb4",
  "functional": "PBE",
  "state": "relaxed",
  "magnetic_moment_mub_per_fu": 3.919,
  "crystal_system": "tetragonal",
  "lattice": [[-2.546, 2.546, 9.058], [2.546, -2.546, 9.058], [2.546, 2.546, -9.058]],
  "species": ["Tb", "Ce", "Ce", "Ce", "Pb", "Pb", "Pb", "Pb"],
  "frac_coords": [[0.000, 0.000, 0.000], [0.249, 0.249, 0.000], [0.500, 0.500, 0.000], [0.751, 0.751, 0.000], [0.124, 0.624, 0.500], [0.376, 0.876, 0.500], [0.624, 0.124, 0.500], [0.876, 0.376, 0.500]]
}

It is Q that is the most stable of them.

P | {
  "formula": "Tb5CePb6",
  "functional": "PBE",
  "state": "relaxed",
  "magnetic_moment_mub_per_fu": 2.001,
  "crystal_system": "monoclinic",
  "lattice": [[8.029, -4.474, 0.000], [8.029, 4.474, 0.000], [-1.571, 0.000, 4.788]],
  "species": ["Tb", "Tb", "Tb", "Tb", "Tb", "Ce", "Pb", "Pb", "Pb", "Pb", "Pb", "Pb"],
  "frac_coords": [[0.000, 0.000, 0.000], [0.167, 0.167, 0.667], [0.332, 0.332, 0.332], [0.668, 0.668, 0.668], [0.833, 0.833, 0.333], [0.500, 0.500, 0.000], [0.081, 0.584, 0.833], [0.248, 0.752, 0.500], [0.416, 0.919, 0.167], [0.584, 0.081, 0.833], [0.752, 0.248, 0.500], [0.919, 0.416, 0.167]]
}

Q | {
  "formula": "Tb5CePb6",
  "functional": "PBE",
  "state": "relaxed",
  "magnetic_moment_mub_per_fu": 0.996,
  "crystal_system": "monoclinic",
  "lattice": [[3.097, -7.785, 0.000], [3.097, 7.785, 0.000], [-1.847, 0.000, 7.513]],
  "species": ["Tb", "Tb", "Tb", "Tb", "Tb", "Ce", "Pb", "Pb", "Pb", "Pb", "Pb", "Pb"],
  "frac_coords": [[0.000, 0.000, 0.000], [0.329, 0.671, 0.500], [0.339, 0.661, 0.000], [0.661, 0.339, 0.000], [0.671, 0.329, 0.500], [0.000, 0.000, 0.500], [0.168, 0.830, 0.757], [0.170, 0.832, 0.243], [0.490, 0.490, 0.258], [0.510, 0.510, 0.742], [0.830, 0.168, 0.757], [0.832, 0.170, 0.243]]
}

It is P that is the most stable of them.

P | {
  "formula": "TbCeTePb",
  "functional": "PBE",
  "state": "relaxed",
  "magnetic_moment_mub_per_fu": 0.812,
  "crystal_system": "trigonal",
  "lattice": [[2.246, 1.297, 7.307], [-2.246, 1.297, 7.307], [0.000, -2.593, 7.307]],
  "species": ["Tb", "Ce", "Te", "Pb"],
  "frac_coords": [[0.000, 0.000, 0.000], [0.496, 0.496, 0.496], [0.251, 0.251, 0.251], [0.747, 0.747, 0.747]]
}

Q | {
  "formula": "TbCeTePb",
  "functional": "PBE",
  "state": "relaxed",
  "magnetic_moment_mub_per_fu": 0.992,
  "crystal_system": "cubic",
  "lattice": [[0.000, 3.861, 3.861], [3.861, 0.000, 3.861], [3.861, 3.861, 0.000]],
  "species": ["Tb", "Ce", "Te", "Pb"],
  "frac_coords": [[0.000, 0.000, 0.000], [0.500, 0.500, 0.500], [0.750, 0.750, 0.750], [0.250, 0.250, 0.250]]
}

It is P that is the most stable of them.

P | {
  "formula": "TbCeTlPb",
  "functional": "PBE",
  "state": "relaxed",
  "magnetic_moment_mub_per_fu": 1.720,
  "crystal_system": "tetragonal",
  "lattice": [[-2.533, 2.533, 4.477], [2.533, -2.533, 4.477], [2.533, 2.533, -4.477]],
  "species": ["Tb", "Ce", "Tl", "Pb"],
  "frac_coords": [[0.000, 0.000, 0.000], [0.500, 0.500, 0.000], [0.250, 0.750, 0.500], [0.750, 0.250, 0.500]]
}

Q | {
  "formula": "TbCeTlPb",
  "functional": "PBE",
  "state": "relaxed",
  "magnetic_moment_mub_per_fu": 1.212,
  "crystal_system": "cubic",
  "lattice": [[0.000, 3.874, 3.874], [3.874, 0.000, 3.874], [3.874, 3.874, 0.000]],
  "species": ["Tb", "Ce", "Tl", "Pb"],
  "frac_coords": [[0.000, 0.000, 0.000], [0.500, 0.500, 0.500], [0.250, 0.250, 0.250], [0.750, 0.750, 0.750]]
}

It is P that is the most stable of them.

P | {
  "formula": "CeThPb2",
  "functional": "PBE",
  "state": "relaxed",
  "magnetic_moment_mub_per_fu": 2.128,
  "crystal_system": "cubic",
  "lattice": [[0.000, 3.936, 3.936], [3.936, 0.000, 3.936], [3.936, 3.936, 0.000]],
  "species": ["Ce", "Th", "Pb", "Pb"],
  "frac_coords": [[0.000, 0.000, 0.000], [0.500, 0.500, 0.500], [0.250, 0.250, 0.250], [0.750, 0.750, 0.750]]
}

Q | {
  "formula": "CeThPb2",
  "functional": "PBE",
  "state": "relaxed",
  "magnetic_moment_mub_per_fu": 1.055,
  "crystal_system": "tetragonal",
  "lattice": [[5.097, 0.000, 0.000], [0.000, 5.097, 0.000], [0.000, 0.000, 4.574]],
  "species": ["Ce", "Th", "Pb", "Pb"],
  "frac_coords": [[0.000, 0.000, 0.000], [0.500, 0.500, 0.000], [0.000, 0.500, 0.500], [0.500, 0.000, 0.500]]
}

It is Q that is the most stable of them.

P | {
  "formula": "CeTh2Pb",
  "functional": "PBE",
  "state": "relaxed",
  "magnetic_moment_mub_per_fu": 2.226,
  "crystal_system": "cubic",
  "lattice": [[0.000, 3.934, 3.934], [3.934, 0.000, 3.934], [3.934, 3.934, 0.000]],
  "species": ["Ce", "Th", "Th", "Pb"],
  "frac_coords": [[0.000, 0.000, 0.000], [0.250, 0.250, 0.250], [0.750, 0.750, 0.750], [0.500, 0.500, 0.500]]
}

Q | {
  "formula": "CeTh2Pb",
  "functional": "PBE",
  "state": "relaxed",
  "magnetic_moment_mub_per_fu": 0.000,
  "crystal_system": "trigonal",
  "lattice": [[2.155, 1.244, 7.820], [-2.155, 1.244, 7.820], [0.000, -2.489, 7.820]],
  "species": ["Ce", "Th", "Th", "Pb"],
  "frac_coords": [[0.000, 0.000, 0.000], [0.421, 0.421, 0.421], [0.605, 0.605, 0.605], [0.846, 0.846, 0.846]]
}

It is P that is the most stable of them.

P | {
  "formula": "CeTh2Pb",
  "functional": "PBE",
  "state": "relaxed",
  "magnetic_moment_mub_per_fu": 0.701,
  "crystal_system": "tetragonal",
  "lattice": [[4.184, 0.000, 0.000], [0.000, 4.184, 0.000], [0.000, 0.000, 6.993]],
  "species": ["Ce", "Th", "Th", "Pb"],
  "frac_coords": [[0.000, 0.000, 0.000], [0.500, 0.500, 0.260], [0.500, 0.500, 0.740], [0.000, 0.000, 0.500]]
}

Q | {
  "formula": "CeTh2Pb",
  "functional": "PBE",
  "state": "relaxed",
  "magnetic_moment_mub_per_fu": 0.790,
  "crystal_system": "tetragonal",
  "lattice": [[4.938, 0.000, 0.000], [0.000, 4.938, 0.000], [0.000, 0.000, 4.916]],
  "species": ["Ce", "Th", "Th", "Pb"],
  "frac_coords": [[0.000, 0.000, 0.000], [0.000, 0.500, 0.500], [0.500, 0.000, 0.500], [0.500, 0.500, 0.000]]
}

R | {
  "formula": "CeTh2Pb",
  "functional": "PBE",
  "state": "relaxed",
  "magnetic_moment_mub_per_fu": 0.000,
  "crystal_system": "trigonal",
  "lattice": [[1.747, 1.008, 12.336], [-1.747, 1.008, 12.336], [0.000, -2.017, 12.336]],
  "species": ["Ce", "Th", "Th", "Pb"],
  "frac_coords": [[0.000, 0.000, 0.000], [0.410, 0.410, 0.410], [0.590, 0.590, 0.590], [0.500, 0.500, 0.500]]
}

It is Q that is the most stable of them.

P | {
  "formula": "Ce2ThPb2",
  "functional": "PBE",
  "state": "relaxed",
  "magnetic_moment_mub_per_fu": 1.916,
  "crystal_system": "tetragonal",
  "lattice": [[9.097, 0.000, 0.000], [0.000, 9.097, 0.000], [0.000, 0.000, 3.638]],
  "species": ["Ce", "Ce", "Ce", "Ce", "Th", "Th", "Pb", "Pb", "Pb", "Pb"],
  "frac_coords": [[0.104, 0.396, 0.000], [0.396, 0.896, 0.000], [0.604, 0.104, 0.000], [0.896, 0.604, 0.000], [0.000, 0.000, 0.000], [0.500, 0.500, 0.000], [0.190, 0.690, 0.500], [0.310, 0.190, 0.500], [0.690, 0.810, 0.500], [0.810, 0.310, 0.500]]
}

Q | {
  "formula": "Ce2ThPb2",
  "functional": "PBE",
  "state": "relaxed",
  "magnetic_moment_mub_per_fu": 3.009,
  "crystal_system": "trigonal",
  "lattice": [[5.494, 0.000, 0.000], [-2.747, 4.758, 0.000], [0.000, 0.000, 6.591]],
  "species": ["Ce", "Ce", "Th", "Pb", "Pb"],
  "frac_coords": [[0.333, 0.667, 0.217], [0.667, 0.333, 0.783], [0.000, 0.000, 0.500], [0.333, 0.667, 0.717], [0.667, 0.333, 0.283]]
}

It is P that is the most stable of them.